1) The following is a PBE-GGA calculation of K3HO after structural relaxation, from the Alexandria database.

CIF file:
```
data_K3HO
_chemical_formula_sum 'K6 H2 O2'
_symmetry_space_group_name_H-M 'P 1 21/m 1'
_symmetry_Int_Tables_number 11
_symmetry_space_group_name_Hall '-P 2yb'
_cell_length_a 8.121
_cell_length_b 3.777
_cell_length_c 8.122
_cell_angle_alpha 90.00
_cell_angle_beta 103.16
_cell_angle_gamma 90.00
loop_
_atom_site_label
_atom_site_type_symbol
_atom_site_fract_x
_atom_site_fract_y
_atom_site_fract_z
K1 K 0.032 0.250 0.283
K2 K 0.344 0.250 0.109
K3 K 0.370 0.250 0.582
H1 H 0.307 0.750 0.834
O1 O 0.263 0.750 0.330
```

=====

2) The following is a PBE-GGA calculation of K3HO after structural relaxation, from the Alexandria database.

CIF file:
```
data_K3HO
_chemical_formula_sum 'K12 H4 O4'
_symmetry_space_group_name_H-M 'P n m a'
_symmetry_Int_Tables_number 62
_symmetry_space_group_name_Hall '-P 2ac 2n'
_cell_length_a 7.184
_cell_length_b 10.012
_cell_length_c 6.928
_cell_angle_alpha 90.00
_cell_angle_beta 90.00
_cell_angle_gamma 90.00
loop_
_atom_site_label
_atom_site_type_symbol
_atom_site_fract_x
_atom_site_fract_y
_atom_site_fract_z
K1 K 0.065 0.250 0.125
K2 K 0.196 0.067 0.694
H1 H 0.060 0.750 0.480
O1 O 0.000 0.000 0.000
```

=====

3) The following is a PBE-GGA calculation of K3HO after structural relaxation, from the Alexandria database.

CIF file:
```
data_K3HO
_chemical_formula_sum 'K3 H1 O1'
_symmetry_space_group_name_H-M 'P m -3 m'
_symmetry_Int_Tables_number 221
_symmetry_space_group_name_Hall '-P 4 2 3'
_cell_length_a 5.206
_cell_length_b 5.206
_cell_length_c 5.206
_cell_angle_alpha 90.00
_cell_angle_beta 90.00
_cell_angle_gamma 90.00
loop_
_atom_site_label
_atom_site_type_symbol
_atom_site_fract_x
_atom_site_fract_y
_atom_site_fract_z
K1 K 0.000 0.000 0.500
H1 H 0.500 0.500 0.500
O1 O 0.000 0.000 0.000
```

=====

2) (2.8 kJ/mol of atoms below the next structure)

=====

1) The following is a PBE-GGA calculation of KP2HO after structural relaxation, from the Alexandria database.

CIF file:
```
data_KP2HO
_chemical_formula_sum 'K1 P2 H1 O1'
_symmetry_space_group_name_H-M 'P 4/m m m'
_symmetry_Int_Tables_number 123
_symmetry_space_group_name_Hall '-P 4 2'
_cell_length_a 3.614
_cell_length_b 3.614
_cell_length_c 5.967
_cell_angle_alpha 90.00
_cell_angle_beta 90.00
_cell_angle_gamma 90.00
loop_
_atom_site_label
_atom_site_type_symbol
_atom_site_fract_x
_atom_site_fract_y
_atom_site_fract_z
K1 K 0.000 0.000 0.000
P1 P 0.000 0.500 0.500
H1 H 0.500 0.500 0.500
O1 O 0.500 0.500 0.000
```

=====

2) The following is a PBE-GGA calculation of KP2HO after structural relaxation, from the Alexandria database.

CIF file:
```
data_KP2HO
_chemical_formula_sum 'K1 P2 H1 O1'
_symmetry_space_group_name_H-M 'P 4/m m m'
_symmetry_Int_Tables_number 123
_symmetry_space_group_name_Hall '-P 4 2'
_cell_length_a 7.299
_cell_length_b 7.299
_cell_length_c 5.159
_cell_angle_alpha 90.00
_cell_angle_beta 90.00
_cell_angle_gamma 90.00
loop_
_atom_site_label
_atom_site_type_symbol
_atom_site_fract_x
_atom_site_fract_y
_atom_site_fract_z
K1 K 0.000 0.000 0.000
P1 P 0.000 0.500 0.000
H1 H 0.500 0.500 0.500
O1 O 0.000 0.000 0.500
```

=====

1) (130.0 kJ/mol of atoms below the next structure)

=====

1) The following is a PBE-GGA calculation of KPHO2 after structural relaxation, from the Alexandria database.

CIF file:
```
data_KPHO2
_chemical_formula_sum 'K1 P1 H1 O2'
_symmetry_space_group_name_H-M 'P 4/m m m'
_symmetry_Int_Tables_number 123
_symmetry_space_group_name_Hall '-P 4 2'
_cell_length_a 5.480
_cell_length_b 5.480
_cell_length_c 7.204
_cell_angle_alpha 90.00
_cell_angle_beta 90.00
_cell_angle_gamma 90.00
loop_
_atom_site_label
_atom_site_type_symbol
_atom_site_fract_x
_atom_site_fract_y
_atom_site_fract_z
K1 K 0.000 0.000 0.000
P1 P 0.000 0.000 0.500
H1 H 0.500 0.500 0.500
O1 O 0.000 0.500 0.000
```

=====

2) The following is a PBE-GGA calculation of KPHO2 after structural relaxation, from the Alexandria database.

CIF file:
```
data_KPHO2
_chemical_formula_sum 'K1 P1 H1 O2'
_symmetry_space_group_name_H-M 'P 4/m m m'
_symmetry_Int_Tables_number 123
_symmetry_space_group_name_Hall '-P 4 2'
_cell_length_a 4.376
_cell_length_b 4.376
_cell_length_c 3.068
_cell_angle_alpha 90.00
_cell_angle_beta 90.00
_cell_angle_gamma 90.00
loop_
_atom_site_label
_atom_site_type_symbol
_atom_site_fract_x
_atom_site_fract_y
_atom_site_fract_z
K1 K 0.000 0.000 0.000
P1 P 0.500 0.500 0.000
H1 H 0.500 0.500 0.500
O1 O 0.000 0.500 0.500
```

=====

2) (115.5 kJ/mol of atoms below the next structure)